Ac2Nd5Sm4: optimized geometry, PBE.

Calculated values
Magnetization   0.00 μB per cell
Calculated density   7.3 g cm⁻³
VASP energy   -49.382 eV per cell
Excess energy over the best structure of this formula in the dataset   119 kJ/mol of formula units
Calculated formation energy   0.141 eV per atom

a = 7.401 Å, b = 7.401 Å, c = 10.933 Å
α = 121.52°, β = 121.52°, γ = 56.65°
Sites, in units of the cell vectors:
Ac  0.067  0.067  0.244
Ac  0.933  0.933  0.756
Nd  0.076  0.609  0.333
Nd  0.391  0.924  0.667
Nd  0.500  0.500  0.000
Nd  0.609  0.076  0.333
Nd  0.924  0.391  0.667
Sm  0.263  0.263  0.032
Sm  0.392  0.392  0.627
Sm  0.608  0.608  0.373
Sm  0.737  0.737  0.968